Run a
A geometry-optimized Sc2TlIn structure, computed with GGA-PBEsol.

The crystal system is orthorhombic. As for the space group: Pmmm (47).

Cell: 3.212 4.251 6.368 Å, 90.00 90.00 90.00°
Fractional positions:
1 Sc 0.000 0.000 0.749
2 Sc 0.000 0.000 0.251
3 In 0.500 0.500 0.500
4 Tl 0.500 0.500 0.000

---

Run b
A geometry-optimized Sc2TlIn structure, computed with GGA-PBEsol.

The crystal system is cubic. As for the space group: Fm-3m (225).

Cell: 4.983 4.983 4.983 Å, 60.00 60.00 60.00°
Fractional positions:
1 Sc 0.250 0.250 0.250
2 Sc 0.750 0.750 0.750
3 Tl 0.500 0.500 0.500
4 In 0.000 0.000 0.000

---

Which of them is most stable? Easy: run a.

---

Run a
A geometry-optimized ScIn2W structure, computed with GGA-PBEsol.

The crystal system is tetragonal. As for the space group: P4mm (99).

Cell: 3.622 3.622 6.018 Å, 90.00 90.00 90.00°
Fractional positions:
1 In 0.500 0.500 0.251
2 In 0.000 0.000 0.986
3 W 0.500 0.500 0.739
4 Sc 0.000 0.000 0.524

---

Run b
A geometry-optimized ScIn2W structure, computed with GGA-PBEsol.

The crystal system is monoclinic. As for the space group: C2/m (12).

Cell: 2.990 5.105 5.423 Å, 98.47 90.00 107.02°
Fractional positions:
1 Sc 0.500 0.000 0.000
2 W 0.000 0.000 0.500
3 In 0.256 0.512 0.263
4 In 0.744 0.488 0.737

---

Which of them is most stable? Easy: run b.

---

Run a
A geometry-optimized In2SiSe structure, computed with GGA-PBEsol.

The crystal system is tetragonal. As for the space group: I-4m2 (119).

Cell: 4.085 4.085 6.052 Å, 109.72 109.72 90.00°
Fractional positions:
1 Se 0.500 0.500 0.000
2 Si 0.250 0.750 0.500
3 In 0.000 0.000 0.000
4 In 0.750 0.250 0.500

---

Run b
A geometry-optimized In2SiSe structure, computed with GGA-PBEsol.

The crystal system is orthorhombic. As for the space group: Immm (71).

Cell: 3.588 4.115 6.853 Å, 107.47 105.17 90.00°
Fractional positions:
1 Se 0.500 0.000 0.000
2 Si 0.000 0.500 0.000
3 In 0.315 0.315 0.630
4 In 0.685 0.685 0.370

---

Which of them is most stable? Easy: run b.

---

Run a
A geometry-optimized Ta2InSe structure, computed with GGA-PBEsol.

The crystal system is tetragonal. As for the space group: P4mm (99).

Cell: 3.361 3.361 6.838 Å, 90.00 90.00 90.00°
Fractional positions:
1 In 0.000 0.000 0.474
2 Ta 0.000 0.000 0.990
3 Ta 0.500 0.500 0.221
4 Se 0.500 0.500 0.815

---

Run b
A geometry-optimized Ta2InSe structure, computed with GGA-PBEsol.

The crystal system is tetragonal. As for the space group: P4/mmm (123).

Cell: 3.116 4.780 4.780 Å, 90.00 90.00 90.00°
Fractional positions:
1 In 0.500 0.500 0.500
2 Ta 0.000 0.000 0.500
3 Ta 0.000 0.500 0.000
4 Se 0.500 0.000 0.000

---

Run c
A geometry-optimized Ta2InSe structure, computed with GGA-PBEsol.

The crystal system is tetragonal. As for the space group: I-4m2 (119).

Cell: 4.054 4.054 5.288 Å, 112.54 112.54 90.00°
Fractional positions:
1 In 0.500 0.500 0.000
2 Ta 0.000 0.000 0.000
3 Ta 0.750 0.250 0.500
4 Se 0.250 0.750 0.500

---

Which of them is most stable? Easy: run a.